Entry 1:
## Na2AlSi3Pt4 (PBE)

Data for Na2AlSi3Pt4 after structural relaxation.

Cell: 4.130 4.130 10.248 Å, 90.00 90.00 90.00°
Atoms (fractional coordinates):
1 Al 0.500 0.500 0.500
2 Si 0.500 0.000 0.870
3 Si 0.000 0.500 0.130
4 Pt 0.500 0.500 0.000
5 Pt 0.000 0.500 0.363
6 Na 0.000 0.500 0.752
7 Si 0.000 0.000 0.500
8 Pt 0.000 0.000 0.000
9 Na 0.500 0.000 0.248
10 Pt 0.500 0.000 0.637

Properties
Symmetry ... P-4m2, No. 115
Raw formation energy ... -0.69 eV per atom
Density of states at the Fermi level ... 4.84 states/eV per cell


Entry 2:
## Na2AlSi4Pt3 (PBE)

Data for Na2AlSi4Pt3 after structural relaxation.

Cell: 4.112 4.112 10.382 Å, 90.00 90.00 90.00°
Atoms (fractional coordinates):
1 Na 0.500 0.000 0.249
2 Si 0.500 0.000 0.641
3 Na 0.000 0.500 0.751
4 Pt 0.500 0.000 0.875
5 Si 0.000 0.500 0.359
6 Pt 0.000 0.500 0.125
7 Al 0.500 0.500 0.500
8 Si 0.500 0.500 0.000
9 Pt 0.000 0.000 0.500
10 Si 0.000 0.000 0.000

Properties
Symmetry ... P-4m2, No. 115
Raw formation energy ... -0.49 eV per atom
Density of states at the Fermi level ... 5.45 states/eV per cell


Entry 3:
## NaSrAlPt (PBE)

Data for NaSrAlPt after structural relaxation.

Cell: 4.296 4.296 12.352 Å, 90.00 90.00 90.00°
Atoms (fractional coordinates):
1 Al 0.250 0.750 0.000
2 Na 0.750 0.250 0.500
3 Sr 0.750 0.750 0.221
4 Al 0.750 0.250 0.000
5 Sr 0.250 0.250 0.779
6 Na 0.250 0.750 0.500
7 Pt 0.250 0.250 0.109
8 Pt 0.750 0.750 0.891

Properties
Energy of formation from the pure elements ... -0.58 eV/atom
Symmetry ... P4/nmm, No. 129
Density of states at the Fermi level ... 5.23 states/eV per cell


Entry 4:
## NaYAlPt2 (PBE)

Data for NaYAlPt2 after structural relaxation.

Cell: 4.743 5.279 4.743 Å, 90.00 90.00 90.00°
Atoms (fractional coordinates):
1 Y 0.000 0.500 0.000
2 Pt 0.500 0.000 0.000
3 Pt 0.000 0.000 0.500
4 Na 0.500 0.500 0.500
5 Al 0.000 0.000 0.000

Properties
Energy of formation from the pure elements ... 0.08 eV/atom
Symmetry ... P4/mmm, No. 123
Density of states at the Fermi level ... 7.32 states/eV per cell


Entry 5:
## NaPu2Al9 (PBE)

Data for NaPu2Al9 after structural relaxation.

Cell: 5.550 5.550 9.467 Å, 72.95 72.95 60.00°
Last column: magnetic moment on the atom in μB.
Atoms (fractional coordinates):
1 Al 0.923 0.412 0.253  -0.01
2 Al 0.588 0.077 0.747  -0.01
3 Al 0.077 0.588 0.747  -0.01
4 Pu 0.146 0.146 0.563  5.39
5 Pu 0.854 0.854 0.437  5.39
6 Al 0.412 0.923 0.253  -0.01
7 Al 0.412 0.412 0.253  -0.01
8 Na 0.000 0.000 0.000  0.00
9 Al 0.588 0.588 0.747  -0.01
10 Al 0.665 0.665 0.004  0.01
11 Al 0.335 0.335 0.996  0.01
12 Al 0.500 0.500 0.500  -0.03

Properties
Energy of formation from the pure elements ... -0.14 eV/atom
Symmetry ... R-3m, No. 166
Density of states at the Fermi level ... 14.40 states/eV per cell


Entry 6:
## Na2PuAl9 (PBE)

Data for Na2PuAl9 after structural relaxation.

Cell: 5.546 5.546 9.493 Å, 73.01 73.01 60.00°
Last column: magnetic moment on the atom in μB.
Atoms (fractional coordinates):
1 Al 0.334 0.334 0.997  0.02
2 Al 0.416 0.416 0.245  -0.01
3 Na 0.856 0.856 0.431  0.00
4 Al 0.666 0.666 0.003  0.02
5 Al 0.923 0.416 0.245  -0.01
6 Al 0.500 0.500 0.500  0.01
7 Al 0.077 0.584 0.755  -0.01
8 Al 0.584 0.077 0.755  -0.01
9 Na 0.144 0.144 0.569  0.00
10 Al 0.416 0.923 0.245  -0.01
11 Pu 0.000 0.000 0.000  5.42
12 Al 0.584 0.584 0.755  -0.01

Properties
Energy of formation from the pure elements ... -0.04 eV/atom
Symmetry ... R-3m, No. 166
Density of states at the Fermi level ... 13.44 states/eV per cell


Entry 7:
## Na3Pu3AlS8 (PBE)

Data for Na3Pu3AlS8 after structural relaxation.

Cell: 7.870 7.868 8.072 Å, 119.15 90.00 120.01°
Last column: magnetic moment on the atom in μB.
Atoms (fractional coordinates):
1 Pu 0.500 0.000 0.500  4.88
2 S 0.778 0.556 0.292  -0.10
3 Na 0.000 0.000 0.000  0.00
4 S 0.742 0.484 0.725  -0.12
5 Na 0.000 0.500 0.000  0.00
6 Pu 0.500 0.500 0.500  4.88
7 S 0.778 0.014 0.293  -0.10
8 S 0.222 0.444 0.708  -0.10
9 Pu 0.000 0.500 0.500  4.88
10 Al 0.000 0.000 0.500  0.01
11 Na 0.500 0.500 0.000  0.00
12 S 0.236 0.014 0.293  -0.10
13 S 0.764 0.986 0.707  -0.10
14 S 0.258 0.516 0.275  -0.12
15 S 0.222 0.986 0.707  -0.10

Properties
Symmetry ... R-3m, No. 166
Raw formation energy ... -1.39 eV per atom
Density of states at the Fermi level ... 27.48 states/eV per cell


Entry 8:
## Na2Pu2AlS6 (PBE)

Data for Na2Pu2AlS6 after structural relaxation.

Cell: 6.691 6.691 7.065 Å, 98.98 98.98 119.61°
Last column: magnetic moment on the atom in μB.
Atoms (fractional coordinates):
1 S 0.616 0.932 0.288  -0.11
2 Na 0.832 0.168 0.000  0.00
3 S 0.932 0.616 0.288  -0.11
4 Na 0.168 0.832 0.000  0.00
5 S 0.773 0.773 0.706  -0.10
6 S 0.068 0.384 0.712  -0.11
7 Al 0.000 0.000 0.500  0.01
8 S 0.227 0.227 0.294  -0.10
9 Pu 0.334 0.666 0.500  4.79
10 Pu 0.666 0.334 0.500  4.79
11 S 0.384 0.068 0.712  -0.11

Properties
Symmetry ... C2/m, No. 12
Raw formation energy ... -1.32 eV per atom
Density of states at the Fermi level ... 16.46 states/eV per cell


In the order shown, the computed total magnetic moment values come out to 0.00; 0.00; 0.00; 0.00; 11.73; 5.93; 14.00; 9.00 μB/f.u..